Record 1
! PmTm4Ag, optimized geometry, DFT PBE; values from VASP
! final energy	-25.95	eV/cell
! M_tot	0.001	μB/f.u.
&SYSTEM
  ibrav = 0, nat = 6, ntyp = 3
/
ATOMIC_SPECIES
Pm 145.00 Pm.upf
Tm 168.93 Tm.upf
Ag 107.87 Ag.upf
ATOMIC_POSITIONS crystal
Pm 0.000 0.000 0.000
Tm 0.500 0.500 0.184
Tm 0.000 0.000 0.636
Tm 0.000 0.000 0.364
Tm 0.500 0.500 0.816
Ag 0.500 0.500 0.500
CELL_PARAMETERS angstrom
3.526 0.000 0.000
0.000 3.526 0.000
0.000 0.000 13.806


Record 2
! FeSiOs2, optimized geometry, DFT PBE; values from VASP
! formation energy from raw total energies	0.227	eV/atom
! M_tot	2.611	μB/f.u.
&SYSTEM
  ibrav = 0, nat = 4, ntyp = 3
/
ATOMIC_SPECIES
Fe 55.84 Fe.upf
Os 190.23 Os.upf
Si 28.09 Si.upf
ATOMIC_POSITIONS crystal
Fe 0.500 0.500 0.500
Os 0.000 0.000 0.000
Os 0.250 0.250 0.250
Si 0.750 0.750 0.750
CELL_PARAMETERS angstrom
4.229 0.000 0.000
2.114 3.662 0.000
2.114 1.221 3.453


Record 3
! TbAgSb, optimized geometry, DFT PBE; values from VASP
! formation energy from raw total energies	-0.573	eV/atom
! M_tot	0.000	μB/f.u.
&SYSTEM
  ibrav = 0, nat = 3, ntyp = 3
/
ATOMIC_SPECIES
Sb 121.76 Sb.upf
Tb 158.93 Tb.upf
Ag 107.87 Ag.upf
ATOMIC_POSITIONS crystal
Sb 0.224 0.333 0.667
Tb 0.681 0.667 0.333
Ag 0.095 0.000 0.000
CELL_PARAMETERS angstrom
-0.098 0.336 4.101
4.479 -0.957 0.185
-1.400 4.347 -0.389


Record 4
! Mn3Tc, optimized geometry, DFT PBE; values from VASP
! final energy	-37.35	eV/cell
! M_tot	4.090	μB/f.u.
&SYSTEM
  ibrav = 0, nat = 4, ntyp = 2
/
ATOMIC_SPECIES
Mn 54.94 Mn.upf
Tc 98.00 Tc.upf
ATOMIC_POSITIONS crystal
Mn 0.000 0.000 0.017
Mn 0.000 0.000 0.483
Mn 0.500 0.500 0.250
Tc 0.500 0.500 0.750
CELL_PARAMETERS angstrom
2.912 0.000 0.000
0.000 2.912 0.000
0.000 0.000 5.861


Record 5
! LaTbCeSn, optimized geometry, DFT PBE; values from VASP
! final energy	-20.33	eV/cell
! M_tot	0.580	μB/f.u.
&SYSTEM
  ibrav = 0, nat = 4, ntyp = 4
/
ATOMIC_SPECIES
Tb 158.93 Tb.upf
Sn 118.71 Sn.upf
Ce 140.12 Ce.upf
La 138.91 La.upf
ATOMIC_POSITIONS crystal
Tb 0.750 0.750 0.750
Sn 0.500 0.500 0.500
Ce 0.000 0.000 0.000
La 0.250 0.250 0.250
CELL_PARAMETERS angstrom
5.495 0.000 0.000
2.748 4.759 0.000
2.748 1.586 4.487


Record 6
! K2MgTlI5, optimized geometry, DFT PBE; values from VASP
! formation energy from raw total energies	-1.101	eV/atom
! M_tot	0.000	μB/f.u.
&SYSTEM
  ibrav = 0, nat = 18, ntyp = 4
/
ATOMIC_SPECIES
K 39.10 K.upf
Mg 24.30 Mg.upf
Tl 204.38 Tl.upf
I 126.90 I.upf
ATOMIC_POSITIONS crystal
K 0.844 0.688 0.765
K 0.059 0.118 0.653
K 0.156 0.312 0.265
K 0.941 0.882 0.153
Mg 0.749 0.498 0.536
Mg 0.251 0.502 0.036
Tl 0.557 0.113 0.938
Tl 0.443 0.887 0.438
I 0.394 0.787 0.017
I 0.735 0.469 0.928
I 0.477 0.954 0.767
I 0.238 0.476 0.655
I 0.893 0.786 0.565
I 0.606 0.213 0.517
I 0.265 0.531 0.428
I 0.523 0.046 0.267
I 0.762 0.524 0.155
I 0.107 0.214 0.065
CELL_PARAMETERS angstrom
4.618 0.000 0.000
-2.309 9.872 0.000
0.000 0.000 18.024


Record 7
! CaO2F2, optimized geometry, DFT PBE; values from VASP
! formation energy from raw total energies	-1.157	eV/atom
! M_tot	0.000	μB/f.u.
&SYSTEM
  ibrav = 0, nat = 5, ntyp = 3
/
ATOMIC_SPECIES
Ca 40.08 Ca.upf
O 16.00 O.upf
F 19.00 F.upf
ATOMIC_POSITIONS crystal
Ca 0.500 0.500 0.500
O 0.000 0.000 0.000
O 0.000 0.000 0.500
F 0.000 0.500 0.000
F 0.500 0.000 0.000
CELL_PARAMETERS angstrom
3.930 0.000 0.000
0.000 3.930 0.000
0.000 0.000 3.652


Record 8
! Mo3Se5, optimized geometry, DFT PBE; values from VASP
! formation energy from raw total energies	0.279	eV/atom
! M_tot	1.068	μB/f.u.
&SYSTEM
  ibrav = 0, nat = 8, ntyp = 2
/
ATOMIC_SPECIES
Mo 95.94 Mo.upf
Se 78.96 Se.upf
ATOMIC_POSITIONS crystal
Mo 0.500 0.500 0.000
Mo 0.726 0.274 0.500
Mo 0.274 0.726 0.500
Se 0.000 0.000 0.000
Se 0.000 0.500 0.000
Se 0.500 0.000 0.000
Se 0.277 0.277 0.500
Se 0.723 0.723 0.500
CELL_PARAMETERS angstrom
3.302 -4.712 0.000
3.302 4.712 0.000
0.000 0.000 4.444